Arrangement P

Here is FeCo7 at its PBEsol-relaxed geometry from Alexandria via LeMat-Bulk. Energies are from SCAN.

Geometry as extended XYZ:
```
8
Lattice="-1.296 -0.919 -2.139 -0.598 -3.451 1.846 -5.960 4.977 3.130" Properties=species:S:1:pos:R:3 pbc="T T T"
Co -2.586 -1.523 0.562
Co -6.031 -0.130 2.050
Co -3.641 -0.375 2.366
Co -4.213 0.982 0.471
Co -1.823 0.737 0.788
Co -5.268 2.130 2.276
Co -0.648 -0.460 -1.069
Fe -0.299 -1.726 0.923
```

M_tot: 15.64 μB per formula unit
DOS(E_F): 6.49 states/eV/f.u.

---

Arrangement Q

Here is FeCo7 at its PBEsol-relaxed geometry from Alexandria via LeMat-Bulk. Energies are from SCAN.

Geometry as extended XYZ:
```
8
Lattice="2.449 0.000 0.000 0.000 2.449 0.000 0.000 0.000 13.955" Properties=species:S:1:pos:R:3 pbc="T T T"
Co 1.225 1.225 10.487
Co 0.000 0.000 8.792
Co 0.000 0.000 5.163
Co 0.000 0.000 1.724
Co 1.225 1.225 0.000
Co 0.000 0.000 12.231
Co 1.225 1.225 3.468
Fe 1.225 1.225 6.977
```

M_tot: 15.17 μB per formula unit
DOS(E_F): 4.92 states/eV/f.u.

---

Quick one: most stable of them? arrangement P

---

Arrangement P

Here is FeCo7 at its PBEsol-relaxed geometry from Alexandria via LeMat-Bulk. Energies are from SCAN.

Geometry as extended XYZ:
```
8
Lattice="2.423 0.000 0.416 0.000 3.459 0.000 0.779 0.000 10.120" Properties=species:S:1:pos:R:3 pbc="T T T"
Co 1.001 0.000 1.455
Co 2.200 0.000 9.081
Co 1.192 1.730 7.677
Co 2.608 0.000 6.684
Co 0.594 0.000 3.853
Co 2.009 1.730 2.859
Co 1.601 1.730 5.268
Fe 0.000 1.730 0.000
```

M_tot: 15.16 μB per formula unit
DOS(E_F): 4.54 states/eV/f.u.

---

Arrangement Q

Here is FeCo7 at its PBEsol-relaxed geometry from Alexandria via LeMat-Bulk. Energies are from SCAN.

Geometry as extended XYZ:
```
8
Lattice="-3.031 -1.116 -2.295 2.133 -3.065 -1.327 -1.459 -0.974 5.822" Properties=species:S:1:pos:R:3 pbc="T T T"
Co -0.366 -3.833 2.348
Co -1.394 -3.608 0.176
Co -0.449 -2.090 -1.811
Co 0.591 -2.296 0.337
Co -1.991 -1.322 -0.147
Co -2.948 -2.859 1.864
Co -0.963 -1.547 2.025
Fe 0.000 0.000 0.000
```

M_tot: 15.91 μB per formula unit
DOS(E_F): 6.12 states/eV/f.u.

---

Quick one: most stable of them? arrangement Q

---

Arrangement P

Here is FeCo7 at its PBEsol-relaxed geometry from Alexandria via LeMat-Bulk. Energies are from SCAN.

Geometry as extended XYZ:
```
8
Lattice="4.903 0.000 0.000 2.451 4.246 0.000 2.451 1.415 4.003" Properties=species:S:1:pos:R:3 pbc="T T T"
Fe 0.000 0.000 0.000
Co 2.451 2.831 2.002
Co 1.226 0.708 2.002
Co 2.451 0.000 0.000
Co 3.677 2.123 0.000
Co 4.903 2.831 2.002
Co 3.677 0.708 2.002
Co 1.226 2.123 0.000
```

M_tot: 15.17 μB per formula unit
DOS(E_F): 4.72 states/eV/f.u.

---

Arrangement Q

Here is FeCo7 at its PBEsol-relaxed geometry from Alexandria via LeMat-Bulk. Energies are from SCAN.

Geometry as extended XYZ:
```
8
Lattice="-3.449 0.162 -0.249 -0.082 -3.315 -1.021 -0.575 -2.032 6.641" Properties=species:S:1:pos:R:3 pbc="T T T"
Co -1.724 0.081 -0.125
Co -0.142 -0.501 1.637
Co -1.907 -2.077 1.001
Co -2.199 -3.108 4.369
Co -2.012 -0.935 3.196
Co -0.041 -1.658 -0.511
Co -0.433 -1.531 5.004
Fe -0.328 -2.674 2.810
```

M_tot: 15.17 μB per formula unit
DOS(E_F): 5.01 states/eV/f.u.

---

Arrangement R

Here is FeCo7 at its PBEsol-relaxed geometry from Alexandria via LeMat-Bulk. Energies are from SCAN.

Geometry as extended XYZ:
```
8
Lattice="3.916 0.000 0.000 1.958 3.391 0.000 1.958 1.130 6.398" Properties=species:S:1:pos:R:3 pbc="T T T"
Co 5.874 3.391 2.328
Co 1.958 1.130 4.069
Co 1.958 1.130 1.687
Co 5.874 3.391 4.710
Co 3.916 2.261 5.630
Co 3.916 2.261 0.767
Co 3.916 2.261 3.199
Fe 0.000 0.000 0.000
```

M_tot: 15.84 μB per formula unit
DOS(E_F): 5.97 states/eV/f.u.

---

Arrangement S

Here is FeCo7 at its PBEsol-relaxed geometry from Alexandria via LeMat-Bulk. Energies are from SCAN.

Geometry as extended XYZ:
```
8
Lattice="4.800 0.000 0.000 -1.600 4.525 0.000 -1.600 -2.263 3.919" Properties=species:S:1:pos:R:3 pbc="T T T"
Co 2.400 0.000 0.000
Co -0.800 -1.131 1.960
Co -1.600 1.131 1.960
Co 1.600 2.263 0.000
Co 1.600 -1.131 1.960
Co 0.800 1.131 1.960
Co -0.800 2.263 0.000
Fe 0.000 0.000 0.000
```

M_tot: 16.16 μB per formula unit
DOS(E_F): 5.99 states/eV/f.u.

---

Quick one: most stable of them? arrangement S

---

Arrangement P

Here is Fe2Co3 at its PBEsol-relaxed geometry from Alexandria via LeMat-Bulk. Energies are from SCAN.

Geometry as extended XYZ:
```
5
Lattice="3.936 0.000 0.000 1.968 3.409 0.000 1.968 1.136 4.029" Properties=species:S:1:pos:R:3 pbc="T T T"
Co 5.904 3.409 2.461
Co 0.000 0.000 0.000
Co 1.968 1.136 1.568
Fe 3.936 2.272 0.820
Fe 3.936 2.272 3.209
```

M_tot: 11.02 μB per formula unit
DOS(E_F): 2.44 states/eV/f.u.

---

Arrangement Q

Here is Fe2Co3 at its PBEsol-relaxed geometry from Alexandria via LeMat-Bulk. Energies are from SCAN.

Geometry as extended XYZ:
```
5
Lattice="-0.030 -1.493 1.905 2.782 -2.188 -1.671 2.617 4.754 2.715" Properties=species:S:1:pos:R:3 pbc="T T T"
Fe 3.197 2.770 1.695
Fe 2.171 -1.698 1.253
Co 3.774 0.013 1.681
Co -0.015 -0.747 0.952
Co 1.595 1.060 1.267
```

M_tot: 11.02 μB per formula unit
DOS(E_F): 2.92 states/eV/f.u.

---

Quick one: most stable of them? arrangement P

---

Arrangement P

Here is FeCoH2 at its PBEsol-relaxed geometry from Alexandria via LeMat-Bulk. Energies are from SCAN.

Geometry as extended XYZ:
```
8
Lattice="-3.393 -0.813 1.484 1.323 -3.349 1.189 2.084 3.651 1.920" Properties=species:S:1:pos:R:3 pbc="T T T"
Fe -1.172 0.378 2.371
Fe -1.035 -2.081 1.336
Co 1.185 -0.890 2.223
Co 0.000 0.000 0.000
H 0.283 0.100 3.124
H -1.990 -1.064 2.241
H 1.290 2.255 1.761
H 0.443 -2.314 2.061
```

M_tot: 3.93 μB per formula unit
DOS(E_F): 1.71 states/eV/f.u.

---

Arrangement Q

Here is FeCoH2 at its PBEsol-relaxed geometry from Alexandria via LeMat-Bulk. Energies are from SCAN.

Geometry as extended XYZ:
```
4
Lattice="-3.371 0.206 -0.031 -1.772 -0.896 2.732 -1.565 2.356 1.845" Properties=species:S:1:pos:R:3 pbc="T T T"
Fe 0.000 0.000 0.000
H -5.031 1.250 3.409
H -1.677 0.417 1.136
Co -3.354 0.833 2.273
```

M_tot: 4.37 μB per formula unit
DOS(E_F): 1.63 states/eV/f.u.

---

Quick one: most stable of them? arrangement P

---

Arrangement P

Here is FeCoHg2 at its PBEsol-relaxed geometry from Alexandria via LeMat-Bulk. Energies are from SCAN.

Geometry as extended XYZ:
```
4
Lattice="-4.299 -1.068 0.533 -1.306 -2.257 3.621 -2.432 2.034 3.140" Properties=species:S:1:pos:R:3 pbc="T T T"
Hg -6.027 -0.968 5.470
Hg 0.000 0.000 0.000
Fe -2.009 -0.323 1.823
Co -4.018 -0.646 3.647
```

M_tot: 5.05 μB per formula unit
DOS(E_F): 2.89 states/eV/f.u.

---

Arrangement Q

Here is FeCoHg2 at its PBEsol-relaxed geometry from Alexandria via LeMat-Bulk. Energies are from SCAN.

Geometry as extended XYZ:
```
4
Lattice="3.042 0.000 0.000 -1.521 4.431 -0.066 0.000 -1.029 4.714" Properties=species:S:1:pos:R:3 pbc="T T T"
Fe 1.521 0.000 0.000
Hg 1.521 1.421 3.490
Hg 0.000 1.981 1.159
Co 0.000 -0.514 2.357
```

M_tot: 4.67 μB per formula unit
DOS(E_F): 1.85 states/eV/f.u.

---

Quick one: most stable of them? arrangement Q